1.
## Hf2ScTc (PBE)

Data for crystalline Hf2ScTc at its relaxed geometry.

## Properties
- E_form (eV/atom) = -0.190
- D(E_F) (states/eV per atom) = 1.6110
- relative energy among the computed polymorphs (meV/atom) = 36

a = 3.3082 Å, b = 3.3082 Å, c = 7.4645 Å
α = 90.00°, β = 90.00°, γ = 90.00°
Atoms (fractional coordinates):
Hf 0.0000 0.0000 0.2076
Hf 0.0000 0.0000 0.7924
Sc 0.5000 0.5000 0.5000
Tc 0.5000 0.5000 0.0000

***

2.
## HfSc2Tc (PBE)

Data for crystalline HfSc2Tc at its relaxed geometry.

## Properties
- E_form (eV/atom) = 0.338
- D(E_F) (states/eV per atom) = 1.3080
- relative energy among the computed polymorphs (meV/atom) = 412

a = 6.1920 Å, b = 6.1920 Å, c = 6.1920 Å
α = 102.06°, β = 102.06°, γ = 125.60°
Atoms (fractional coordinates):
Hf 0.0000 0.0000 0.0000
Hf 0.7500 0.2500 0.5000
Sc 0.1802 0.6250 0.0552
Sc 0.3750 0.4302 0.5552
Sc 0.5698 0.1250 0.9448
Sc 0.8750 0.8198 0.4448
Tc 0.2500 0.7500 0.5000
Tc 0.5000 0.5000 0.0000

***

3.
## HfScTc (PBE)

Data for crystalline HfScTc at its relaxed geometry.

## Properties
- E_form (eV/atom) = 0.099
- D(E_F) (states/eV per atom) = 0.9590
- relative energy among the computed polymorphs (meV/atom) = 370

a = 7.2909 Å, b = 7.2909 Å, c = 7.2909 Å
α = 144.33°, β = 144.33°, γ = 51.34°
Atoms (fractional coordinates):
Hf 0.0000 0.5000 0.5000
Hf 0.5000 0.0000 0.5000
Sc 0.2500 0.7500 0.5000
Sc 0.7500 0.2500 0.5000
Tc 0.1186 0.1186 0.0000
Tc 0.8814 0.8814 0.0000

***

4.
## Hf3ScTc4 (PBE)

Data for crystalline Hf3ScTc4 at its relaxed geometry.

## Properties
- E_form (eV/atom) = -0.374
- D(E_F) (states/eV per atom) = 1.0381

a = 4.6154 Å, b = 4.6154 Å, c = 6.4966 Å
α = 90.00°, β = 90.00°, γ = 90.00°
Atoms (fractional coordinates):
Hf 0.0000 0.0000 0.0000
Hf 0.0000 0.0000 0.5000
Hf 0.5000 0.5000 0.0000
Sc 0.5000 0.5000 0.5000
Tc 0.0000 0.5000 0.2474
Tc 0.0000 0.5000 0.7526
Tc 0.5000 0.0000 0.2474
Tc 0.5000 0.0000 0.7526